A geometry-optimized Rb2Tl12Zn structure, computed with PBE.

Unit cell a=7.186 b=7.186 c=19.915 alpha=90.00 beta=90.00 gamma=90.00
Atoms (fractional coordinates):
Rb (0.250, 0.750, 0.248)
Rb (0.250, 0.750, 0.752)
Rb (0.750, 0.250, 0.248)
Rb (0.750, 0.250, 0.752)
Tl (0.000, 0.000, 0.082)
Tl (0.000, 0.000, 0.918)
Tl (0.000, 0.500, 0.082)
Tl (0.000, 0.500, 0.918)
Tl (0.085, 0.585, 0.433)
Tl (0.085, 0.915, 0.567)
Tl (0.250, 0.250, 0.179)
Tl (0.250, 0.250, 0.339)
Tl (0.250, 0.250, 0.661)
Tl (0.250, 0.250, 0.821)
Tl (0.415, 0.585, 0.567)
Tl (0.415, 0.915, 0.433)
Tl (0.500, 0.000, 0.082)
Tl (0.500, 0.000, 0.918)
Tl (0.500, 0.500, 0.082)
Tl (0.500, 0.500, 0.918)
Tl (0.585, 0.085, 0.567)
Tl (0.585, 0.415, 0.433)
Tl (0.750, 0.750, 0.179)
Tl (0.750, 0.750, 0.339)
Tl (0.750, 0.750, 0.661)
Tl (0.750, 0.750, 0.821)
Tl (0.915, 0.085, 0.433)
Tl (0.915, 0.415, 0.567)
Zn (0.250, 0.750, 0.000)
Zn (0.750, 0.250, 0.000)

Calculated total energy ... -2.094 eV/atom
Crystal system ... tetragonal
DFT formation energy ... 0.19 eV per formula unit